No. 1
KP2H5O8 (GGA-PBE, relaxed); raw total energy = -95.72 eV/f.u.; space group = P2_1/c, No. 14
1.0
8.003 0.000 0.000
0.000 11.075 0.000
-4.018 0.000 8.748
K P H O
4 8 20 32
Cartesian
1.145 1.355 1.281
-0.864 4.182 5.655
4.849 6.893 3.093
2.840 9.719 7.467
-1.925 0.690 6.379
0.084 4.847 2.005
-0.160 7.937 6.361
1.849 8.675 1.987
2.136 2.400 6.761
4.145 3.138 2.387
3.902 6.228 6.743
5.911 10.385 2.369
-2.547 7.729 5.975
-0.538 8.884 1.601
-0.858 0.354 3.951
-2.867 5.183 8.325
0.938 6.459 3.274
-1.071 10.153 7.648
3.252 8.281 0.264
1.243 8.331 4.638
0.737 0.867 5.958
2.746 4.671 1.584
1.239 6.404 7.164
3.248 10.208 2.790
2.742 2.744 4.110
0.734 2.794 8.484
5.056 0.922 1.100
3.047 4.615 5.474
6.853 5.892 0.423
4.844 10.720 4.797
4.523 2.191 7.147
6.532 3.346 2.773
-0.884 0.144 2.938
-2.893 5.393 7.312
-2.407 2.107 6.776
-0.398 3.430 2.402
-1.375 7.761 5.453
0.633 8.851 1.079
-0.759 0.759 5.400
1.250 4.778 1.026
-1.536 11.073 7.739
0.473 5.539 3.365
1.626 7.828 3.243
-0.383 8.784 7.617
0.308 6.472 6.762
2.317 10.140 2.388
3.042 7.973 1.224
1.033 8.639 5.598
2.953 2.436 3.150
0.944 3.102 7.524
1.669 0.934 6.360
3.678 4.603 1.986
4.368 2.291 1.131
2.359 3.247 5.505
5.521 0.002 1.009
3.512 5.536 5.383
2.735 6.297 7.722
4.744 10.316 3.348
3.352 2.223 7.669
5.361 3.314 3.295
4.384 7.645 6.346
6.393 8.968 1.972
6.879 5.682 1.436
4.870 10.930 5.810



No. 2
YScAs2 (GGA-PBE, relaxed); space group = R3m, No. 160; formation enthalpy at 0 K = -1.304 eV per atom; ΔE to the lowest computed polymorph = 0.1486 eV per atom
1.0
1.989 1.149 6.799
-1.989 1.149 6.799
0.000 -2.297 6.799
Y Sc As
1 1 2
Cartesian
0.000 0.000 0.000
0.000 0.000 3.494
0.000 0.000 8.620
0.000 0.000 11.877



No. 3
Li4Cd7Pb (GGA-PBE, relaxed); space group = C2/m, No. 12; formation enthalpy at 0 K = -0.023 eV per atom
1.0
5.526 -2.791 0.000
5.526 2.791 0.000
-5.202 0.000 9.325
Li Cd Pb
4 7 1
Cartesian
-0.695 0.000 2.946
2.537 0.000 2.071
3.313 0.000 7.254
6.545 0.000 6.379
0.000 0.000 0.000
-1.405 0.000 5.812
-2.530 0.000 8.450
1.462 0.000 4.919
4.389 0.000 4.406
8.381 0.000 0.875
7.255 0.000 3.513
5.526 0.000 0.000



> What is the formula in the second record?

YScAs2



Repeat the third record exactly.
Li4Cd7Pb (GGA-PBE, relaxed); space group = C2/m, No. 12; formation enthalpy at 0 K = -0.023 eV per atom
1.0
5.526 -2.791 0.000
5.526 2.791 0.000
-5.202 0.000 9.325
Li Cd Pb
4 7 1
Cartesian
-0.695 0.000 2.946
2.537 0.000 2.071
3.313 0.000 7.254
6.545 0.000 6.379
0.000 0.000 0.000
-1.405 0.000 5.812
-2.530 0.000 8.450
1.462 0.000 4.919
4.389 0.000 4.406
8.381 0.000 0.875
7.255 0.000 3.513
5.526 0.000 0.000



Repeat the second record exactly.
YScAs2 (GGA-PBE, relaxed); space group = R3m, No. 160; formation enthalpy at 0 K = -1.304 eV per atom; ΔE to the lowest computed polymorph = 0.1486 eV per atom
1.0
1.989 1.149 6.799
-1.989 1.149 6.799
0.000 -2.297 6.799
Y Sc As
1 1 2
Cartesian
0.000 0.000 0.000
0.000 0.000 3.494
0.000 0.000 8.620
0.000 0.000 11.877